P.
VASP calculation (PBE with a Hubbard U) on CdNiN2F after structural relaxation. Values from VASP.

```
&SYSTEM
  ibrav = 0, nat = 5, ntyp = 4
/
ATOMIC_SPECIES
Cd 112.41 Cd.upf
Ni 58.69 Ni.upf
N 14.01 N.upf
F 19.00 F.upf
CELL_PARAMETERS angstrom
4.2018 0.0000 0.0000
0.0000 4.2018 0.0000
0.0000 0.0000 4.3070
ATOMIC_POSITIONS angstrom
Cd 0.0000 0.0000 0.0000
Ni 2.1009 2.1009 2.1535
N 0.0000 2.1009 0.0000
N 2.1009 0.0000 0.0000
F 0.0000 0.0000 2.1535
```



Q.
VASP calculation (PBE with a Hubbard U) on CdNiN2F after structural relaxation. Values from VASP.

```
&SYSTEM
  ibrav = 0, nat = 5, ntyp = 4
/
ATOMIC_SPECIES
Cd 112.41 Cd.upf
Ni 58.69 Ni.upf
N 14.01 N.upf
F 19.00 F.upf
CELL_PARAMETERS angstrom
3.8170 0.0000 0.0000
0.0000 3.8170 0.0000
0.0000 0.0000 4.0495
ATOMIC_POSITIONS angstrom
Cd 0.0000 0.0000 0.0000
Ni 1.9085 1.9085 2.0247
N 0.0000 1.9085 2.0247
N 1.9085 0.0000 2.0247
F 1.9085 1.9085 0.0000
```



Structures ranked by computed energy, the most stable listed first: Q, P.